No. 1
! In2TcAs SCAN single point on PBEsol structure; values from VASP
! Formation energy, eV/f.u.: 2.4
! Space-group type: No. 216
! Magnetization, μB/f.u.: 1.34
&SYSTEM
  ibrav = 0, nat = 4, ntyp = 3
/
ATOMIC_SPECIES
In 114.82 In.upf
As 74.92 As.upf
Tc 98.00 Tc.upf
ATOMIC_POSITIONS angstrom
In 0.0000 0.0000 0.0000
As 4.7096 2.7191 1.9227
Tc 2.3548 1.3596 0.9613
In 7.0644 4.0787 2.8840
CELL_PARAMETERS angstrom
4.7096 0.0000 0.0000
2.3548 4.0787 0.0000
2.3548 1.3596 3.8454

=====

No. 2
! Cs12Sn2As6O SCAN single point on PBEsol structure; values from VASP
! Formation energy from raw total energies, meV/atom: -657
! Space-group type: No. 164
! Magnetization, μB/f.u.: 0.00
&SYSTEM
  ibrav = 0, nat = 21, ntyp = 4
/
ATOMIC_SPECIES
Cs 132.91 Cs.upf
Sn 118.71 Sn.upf
As 74.92 As.upf
O 16.00 O.upf
ATOMIC_POSITIONS angstrom
Cs 4.6214 0.0000 2.4231
Cs 1.5701 3.8133 4.7124
Sn 4.7262 5.9877 3.4570
Cs 1.5701 8.1621 4.7124
As 1.5854 0.0000 4.3694
Cs 1.7026 5.9877 7.9479
Cs 4.7539 0.0000 9.4248
As 4.7386 5.9877 6.0016
Cs 4.7539 -2.1744 5.6586
Cs 1.7026 2.0985 1.2115
Cs 4.6214 -3.8892 9.1594
Cs 1.7026 9.8769 1.2115
As 1.5854 -2.2037 8.1863
Cs 4.6214 3.8892 9.1594
As 1.5854 2.2037 8.1863
Sn 1.5978 0.0000 6.9140
As 4.7386 8.1914 2.1847
Cs 1.5701 5.9877 0.9462
Cs 4.7539 2.1744 5.6586
As 4.7386 3.7840 2.1847
O 3.1620 0.0000 0.0000
CELL_PARAMETERS angstrom
6.3240 0.0000 0.0000
0.0000 11.9754 0.0000
0.0000 -5.9877 10.3710

=====

No. 3
! NdRh2 SCAN single point on PBEsol structure; values from VASP
! Formation energy, eV/f.u.: -2.3
! Space-group type: No. 227
! Magnetization, μB/f.u.: 0.00
&SYSTEM
  ibrav = 0, nat = 6, ntyp = 2
/
ATOMIC_SPECIES
Rh 102.91 Rh.upf
Nd 144.24 Nd.upf
ATOMIC_POSITIONS angstrom
Rh 5.3275 3.0758 0.5437
Rh 3.9956 3.8448 2.7187
Rh 6.6593 3.8448 2.7187
Nd 2.6637 1.5379 1.0875
Nd 0.0000 0.0000 0.0000
Rh 5.3275 1.5379 2.7187
CELL_PARAMETERS angstrom
5.3275 0.0000 0.0000
2.6637 4.6137 0.0000
2.6637 1.5379 4.3499

=====

> What is the magnetization in the second record?

0.00 μB/f.u.